Entry 1:
A relaxed structure of NdGeS2. Source: the Alexandria database, functional PBE-GGA.

```
data_NdGeS2
_chemical_formula_sum 'Nd3 Ge3 S6'
_space_group_name_H-M_alt 'R -3 m'
_space_group_IT_number 166
_space_group_name_Hall '-R 3 2"'
_cell_length_a 3.7365
_cell_length_b 3.7365
_cell_length_c 24.9321
_cell_angle_alpha 90.00
_cell_angle_beta 90.00
_cell_angle_gamma 120.00
loop_
_atom_site_label
_atom_site_type_symbol
_atom_site_fract_x
_atom_site_fract_y
_atom_site_fract_z
Nd1 Nd 0.0000 0.0000 0.0000
Ge1 Ge 0.0000 0.0000 0.5000
S1 S 0.0000 0.0000 0.1090
```

Computed properties:
Uncorrected formation energy: -1.8 eV per formula unit
Crystal system: trigonal


Entry 2:
A relaxed structure of DyYTm. Source: the Alexandria database, functional PBE-GGA.

```
data_DyYTm
_chemical_formula_sum 'Dy4 Y4 Tm4'
_space_group_name_H-M_alt 'C m c m'
_space_group_IT_number 63
_space_group_name_Hall '-C 2c 2'
_cell_length_a 4.999
_cell_length_b 14.999
_cell_length_c 4.994
_cell_angle_alpha 90.00
_cell_angle_beta 90.00
_cell_angle_gamma 90.00
loop_
_atom_site_label
_atom_site_type_symbol
_atom_site_fract_x
_atom_site_fract_y
_atom_site_fract_z
Dy1 Dy 0.000 0.084 0.250
Y1 Y 0.000 0.416 0.250
Tm1 Tm 0.000 0.250 0.750
```

Computed properties:
E above lowest polymorph: 0.00 kJ/mol of atoms
Crystal system: orthorhombic


Entry 3:
A relaxed structure of K3BaIn8. Source: the Alexandria database, functional PBE-GGA.

```
data_K3BaIn8
_chemical_formula_sum 'K9 Ba3 In24'
_space_group_name_H-M_alt 'R 3 m'
_space_group_IT_number 160
_space_group_name_Hall 'R 3 -2"'
_cell_length_a 6.4605
_cell_length_b 6.4605
_cell_length_c 31.5213
_cell_angle_alpha 90.00
_cell_angle_beta 90.00
_cell_angle_gamma 120.00
loop_
_atom_site_label
_atom_site_type_symbol
_atom_site_fract_x
_atom_site_fract_y
_atom_site_fract_z
K1 K 0.0000 0.0000 0.0000
K2 K 0.0000 0.0000 0.1229
K3 K 0.0000 0.0000 0.6271
Ba1 Ba 0.0000 0.0000 0.5011
In1 In 0.0000 0.0000 0.3142
In2 In 0.0000 0.0000 0.8119
In3 In 0.0005 0.5003 0.0632
In4 In 0.1671 0.3343 0.8959
```

Computed properties:
Crystal system: trigonal
Energy: -88.683 eV per cell


Across the entries above, total magnetic moment takes the values 0.000, 0.000, 0.000 μB per atom, respectively.